(1)
# NbC2O2

A geometry-optimized NbC2O2 structure (PBEsol, the Alexandria database).

Values from the calculation:
The total DFT energy (no corrections) comes out at -7.63 eV per atom. The value obtained for the mass density is 5.61 g/cm3. The crystal system is tetragonal. The magnetic moment is 0.000 μB/cell. The uncorrected formation energy comes out at 0.492 eV per atom. Its density of states at the Fermi level is 1.74 states/eV/cell.

Lattice parameters (Å, degrees): 3.959 3.959 3.959 119.68 119.68 90.55
Element x y z (fractional)
Nb: 0.000 0.000 0.000
C: 0.385 0.385 0.000
C: 0.615 0.615 0.000
O: 0.250 0.750 0.500
O: 0.750 0.250 0.500

(2)
# MnBeSb

A geometry-optimized MnBeSb structure (PBEsol, the Alexandria database).

Values from the calculation:
The total DFT energy (no corrections) comes out at -5.72 eV per atom. The value obtained for the mass density is 7.69 g/cm3. The crystal system is hexagonal. The magnetic moment is 0.001 μB/cell. The uncorrected formation energy comes out at 0.389 eV per atom. Its density of states at the Fermi level is 1.76 states/eV/cell.

Lattice parameters (Å, degrees): 3.812 3.812 3.187 90.00 90.00 120.00
Element x y z (fractional)
Mn: 0.000 0.000 0.000
Be: 0.667 0.333 0.000
Sb: 0.333 0.667 0.500

(3)
# RbMnS2

A geometry-optimized RbMnS2 structure (PBEsol, the Alexandria database).

Values from the calculation:
The total DFT energy (no corrections) comes out at -5.59 eV per atom. The value obtained for the mass density is 3.51 g/cm3. The crystal system is tetragonal. The magnetic moment is 3.443 μB/cell. The uncorrected formation energy comes out at -0.705 eV per atom. Its density of states at the Fermi level is 6.37 states/eV/cell.

Lattice parameters (Å, degrees): 6.365 6.365 6.365 115.02 115.02 98.87
Element x y z (fractional)
Rb: 0.000 0.000 0.000
Rb: 0.750 0.250 0.500
Mn: 0.250 0.750 0.500
Mn: 0.500 0.500 0.000
S: 0.266 0.125 0.641
S: 0.375 0.734 0.859
S: 0.484 0.625 0.359
S: 0.875 0.516 0.141

(4)
# RhCl3

A geometry-optimized RhCl3 structure (PBEsol, the Alexandria database).

Values from the calculation:
The total DFT energy (no corrections) comes out at -4.19 eV per atom. The value obtained for the mass density is 3.93 g/cm3. The crystal system is monoclinic. The magnetic moment is 0.000 μB/cell. The uncorrected formation energy comes out at -0.647 eV per atom. Its density of states at the Fermi level is 0.00 states/eV/cell.

Lattice parameters (Å, degrees): 5.946 5.946 6.067 98.75 98.75 120.00
Element x y z (fractional)
Rh: 0.167 0.833 0.000
Rh: 0.833 0.167 0.000
Cl: 0.079 0.431 0.777
Cl: 0.218 0.218 0.224
Cl: 0.431 0.079 0.777
Cl: 0.569 0.921 0.223
Cl: 0.782 0.782 0.776
Cl: 0.921 0.569 0.223